# 1
Material: InIrPt2
Method: DFT, GGA-PBEsol
State: optimized geometry

Summary:
E (eV per atom): -6.67
Spin magnetization (μB/atom): 0.0005
DOS(E_F) (states/eV/atom): 1.027
DFT formation energy (eV per atom): 0.013
SG: No. 123

Cell lengths 3.3958, 3.3958, 5.5733 Å; angles 90.00, 90.00, 90.00 degrees
Atoms (fractional coordinates):
Pt: 0.0000 0.0000 0.7355
Pt: 0.0000 0.0000 0.2645
In: 0.5000 0.5000 0.0000
Ir: 0.5000 0.5000 0.5000



# 2
Material: InIrPt
Method: DFT, GGA-PBEsol
State: optimized geometry

Summary:
E (eV per atom): -6.31
Energy above the most stable polymorph in this dataset (meV/atom): 0
Spin magnetization (μB/atom): 0.1969
DOS(E_F) (states/eV/atom): 1.814
DFT formation energy (eV per atom): 0.278
SG: No. 216

Cell lengths 4.3236, 4.3236, 4.3236 Å; angles 60.00, 60.00, 60.00 degrees
Atoms (fractional coordinates):
Pt: 0.2500 0.2500 0.2500
In: 0.0000 0.0000 0.0000
Ir: 0.5000 0.5000 0.5000



# 3
Material: InIrPt2
Method: DFT, GGA-PBEsol
State: optimized geometry

Summary:
E (eV per atom): -6.77
Spin magnetization (μB/atom): 0.0002
DOS(E_F) (states/eV/atom): 1.361
DFT formation energy (eV per atom): -0.087
SG: No. 119

Cell lengths 4.0339, 4.0339, 4.8039 Å; angles 114.83, 114.83, 90.00 degrees
Atoms (fractional coordinates):
In: 0.5000 0.5000 0.0000
Pt: 0.7500 0.2500 0.5000
Pt: 0.0000 0.0000 0.0000
Ir: 0.2500 0.7500 0.5000



# 4
Material: InIrPt2
Method: DFT, GGA-PBEsol
State: optimized geometry

Summary:
E (eV per atom): -6.78
Spin magnetization (μB/atom): 0.0001
DOS(E_F) (states/eV/atom): 0.587
DFT formation energy (eV per atom): -0.092
SG: No. 123

Cell lengths 2.7916, 4.7601, 4.7601 Å; angles 90.00, 90.00, 90.00 degrees
Atoms (fractional coordinates):
In: 0.5000 0.5000 0.5000
Pt: 0.0000 0.0000 0.5000
Pt: 0.0000 0.5000 0.0000
Ir: 0.5000 0.0000 0.0000